The following is a DFT calculation (PBE) of a relaxed structure of Ca2PmPr4.

Geometry as CIF:
```
data_Ca2PmPr4
_symmetry_space_group_name_H-M 'P 1'
_symmetry_Int_Tables_number 1
_cell_length_a 5.822
_cell_length_b 5.822
_cell_length_c 9.951
_cell_angle_alpha 107.01
_cell_angle_beta 107.01
_cell_angle_gamma 90.00
loop_
_symmetry_equiv_pos_as_xyz
'x,y,z'
loop_
_atom_site_label
_atom_site_type_symbol
_atom_site_fract_x
_atom_site_fract_y
_atom_site_fract_z
_atom_site_occupancy
Ca1 Ca 0.626 0.626 0.252 1
Ca2 Ca 0.374 0.374 0.748 1
Pm1 Pm 0.000 0.000 0.000 1
Pr1 Pr 0.827 0.827 0.653 1
Pr2 Pr 0.173 0.173 0.347 1
Pr3 Pr 0.000 0.500 0.000 1
Pr4 Pr 0.500 0.000 0.000 1
```

Total energy ... -24.0 eV for the cell shown
Volume ... 43.875 Å³/atom
Energy above the lowest structure with this stoichiometry ... 308 kJ/mol of formula units
Energy of formation ... 559.1 meV/atom
Theoretical density ... 4.3 g/cm³